# 1
## AcMg4Ru (GGA-PBE)

Data for a relaxed structure of AcMg4Ru.

The structure in extended XYZ format:
```
12
Lattice="4.440 0.000 0.000 0.000 7.680 0.000 0.000 0.000 8.587" Properties=species:S:1:pos:R:3 pbc="T T T"
Ru 0.000 1.648 6.440
Ru 0.000 6.032 2.147
Mg 2.220 7.447 6.440
Mg 2.220 5.444 0.572
Mg 2.220 5.444 3.722
Ac 0.000 3.183 2.147
Ac 0.000 4.497 6.440
Mg 2.220 2.236 8.015
Mg 2.220 2.236 4.866
Mg 2.220 0.233 2.147
Mg 0.000 0.000 4.294
Mg 0.000 0.000 0.000
```

## Properties
Calculated formation energy, meV/atom: -113
E, eV/f.u.: -20.44

---

# 2
## Ti4Te2Cl (GGA-PBE)

Data for a relaxed structure of Ti4Te2Cl.

The structure in extended XYZ format:
```
7
Lattice="4.463 0.000 0.000 0.000 4.463 0.000 2.231 2.231 7.042" Properties=species:S:1:pos:R:3 pbc="T T T"
Ti 2.231 0.000 0.000
Cl 0.000 0.000 0.000
Te 2.231 2.231 1.955
Ti 2.231 2.231 4.704
Ti 4.463 4.463 2.337
Ti 0.000 2.231 0.000
Te 4.463 4.463 5.086
```

## Properties
E, eV/f.u.: -40.90

---

# 3
## NaCoSi (GGA-PBE)

Data for a relaxed structure of NaCoSi.

The structure in extended XYZ format:
```
6
Lattice="3.888 0.000 0.000 0.000 3.888 0.000 0.000 0.000 6.899" Properties=species:S:1:pos:R:3 pbc="T T T"
Co 0.000 0.000 3.450
Na 1.944 0.000 1.049
Si 1.944 0.000 4.600
Si 0.000 1.944 2.299
Na 0.000 1.944 5.850
Co 1.944 1.944 3.450
```

## Properties
E, eV/f.u.: -14.50

---

# 4
## La2ZrCr2N6 (GGA-PBE)

Data for a relaxed structure of La2ZrCr2N6.

The structure in extended XYZ format:
```
11
Lattice="-0.406 -4.225 -3.999 -2.738 -4.984 1.292 -5.818 -0.915 -2.696" Properties=species:S:1:pos:R:3 pbc="T T T"
N -6.511 -5.508 -2.025
Zr 0.000 0.000 0.000
N -3.637 -5.003 -0.686
La -6.207 -7.825 -3.859
N -2.450 -4.616 -3.379
N -5.117 -2.971 -2.682
N -5.324 -5.121 -4.718
Cr -5.417 -4.639 -3.054
Cr -3.544 -5.485 -2.350
N -3.844 -7.153 -2.721
La -2.754 -2.299 -1.544
```

## Properties
E, eV/f.u.: -97.65

---

# 5
## Zr2CdBr (GGA-PBE)

Data for a relaxed structure of Zr2CdBr.

The structure in extended XYZ format:
```
4
Lattice="-2.689 4.439 8.408 -5.578 3.338 7.441 -3.581 1.403 9.102" Properties=species:S:1:pos:R:3 pbc="T T T"
Cd -2.962 2.295 6.238
Zr -0.052 0.041 0.110
Zr -5.872 4.549 12.365
Br -8.886 6.885 18.714
```

## Properties
E, eV/f.u.: -20.49

---

# 6
## Li2Ca2Sn (GGA-PBE)

Data for a relaxed structure of Li2Ca2Sn.

The structure in extended XYZ format:
```
10
Lattice="-5.006 6.661 -1.994 -5.313 -5.249 -4.198 -2.138 -0.580 3.430" Properties=species:S:1:pos:R:3 pbc="T T T"
Li -7.275 3.547 -1.504
Ca -6.214 -2.138 -4.234
Ca -7.710 2.188 -4.435
Ca -2.609 -0.776 -1.757
Ca -4.104 3.550 -1.958
Sn -5.159 0.706 -3.096
Li -8.841 -0.528 -3.169
Sn 0.000 0.000 0.000
Li -5.182 -2.715 -1.258
Li -3.615 1.360 0.407
```

## Properties
Calculated formation energy, meV/atom: -19
E, eV/f.u.: -11.93

---

# 7
## AcInCu2 (GGA-PBE)

Data for a relaxed structure of AcInCu2.

The structure in extended XYZ format:
```
4
Lattice="5.013 0.000 0.000 2.506 4.341 0.000 2.506 1.447 4.093" Properties=species:S:1:pos:R:3 pbc="T T T"
Ac 0.000 0.000 0.000
Cu 7.519 4.341 3.070
Cu 2.506 1.447 1.023
In 5.013 2.894 2.046
```

## Properties
Calculated formation energy, meV/atom: -162
E, eV/f.u.: -15.69

---

# 8
## Li2ScAu (GGA-PBE)

Data for a relaxed structure of Li2ScAu.

The structure in extended XYZ format:
```
4
Lattice="-0.233 -1.357 4.917 -2.361 -3.266 -3.136 2.609 -1.585 -0.314" Properties=species:S:1:pos:R:3 pbc="T T T"
Li -1.297 -2.311 0.891
Li 0.000 0.000 0.000
Sc 1.188 -1.471 2.302
Au 0.124 -2.425 -1.725
```

## Properties
Calculated formation energy, meV/atom: -97
E, eV/f.u.: -13.82

---

# 9
## Nd4Dy2Hg (GGA-PBE)

Data for a relaxed structure of Nd4Dy2Hg.

The structure in extended XYZ format:
```
7
Lattice="3.595 0.000 0.000 0.000 8.626 0.112 -1.798 -3.953 7.344" Properties=species:S:1:pos:R:3 pbc="T T T"
Nd 0.000 5.398 1.313
Nd 1.798 -0.725 6.143
Nd 1.798 2.294 1.936
Nd 0.000 2.379 5.519
Dy 0.000 -0.518 3.178
Hg 0.000 0.000 0.000
Dy 1.798 5.191 4.278
```

## Properties
Calculated formation energy, meV/atom: -14
E, eV/f.u.: -28.67

---

# 10
## Li5InHg (GGA-PBE)

Data for a relaxed structure of Li5InHg.

The structure in extended XYZ format:
```
14
Lattice="6.773 1.452 0.741 3.526 5.963 0.741 4.447 3.201 8.434" Properties=species:S:1:pos:R:3 pbc="T T T"
Li 6.381 4.584 5.756
Li 9.362 4.890 7.066
Li 10.598 7.620 8.377
Li 5.384 5.726 2.849
In 6.932 3.576 2.849
In 7.814 7.040 7.066
Li 8.365 6.032 4.160
Hg 0.000 0.000 0.000
Hg 2.223 1.601 4.217
Li 6.639 4.850 8.525
Li 4.482 3.157 4.308
Li 8.107 5.767 1.391
Li 4.148 2.996 1.538
Li 10.264 7.459 5.608
```

## Properties
Calculated formation energy, meV/atom: -181
E, eV/f.u.: -13.88

---

# 11
## HfCo4Pb (GGA-PBE)

Data for a relaxed structure of HfCo4Pb.

The structure in extended XYZ format:
```
6
Lattice="4.924 0.000 0.000 2.462 4.265 0.000 2.462 1.422 4.021" Properties=species:S:1:pos:R:3 pbc="T T T"
Co 4.924 2.843 0.497
Hf 0.000 0.000 0.000
Pb 2.462 1.422 1.005
Co 6.160 3.556 2.515
Co 4.924 1.417 2.515
Co 3.689 3.556 2.515
```

## Properties
Calculated formation energy, meV/atom: -14
E, eV/f.u.: -42.17

---

# 12
## K2AgSb (GGA-PBE)

Data for a relaxed structure of K2AgSb.

The structure in extended XYZ format:
```
4
Lattice="5.134 0.021 -0.021 2.549 4.457 -0.021 2.585 1.506 5.820" Properties=species:S:1:pos:R:3 pbc="T T T"
Ag 2.570 1.498 2.175
K 7.684 4.479 0.258
K 7.699 4.487 4.025
Sb 5.131 2.991 2.169
```

## Properties
E, eV/f.u.: -10.41

---

Number 1: total magnetization 0.000 Bohr magnetons per cell. Number 2: total magnetization 1.876 Bohr magnetons per cell. Number 3: total magnetization 0.000 Bohr magnetons per cell. Number 4: total magnetization 0.000 Bohr magnetons per cell. Number 5: total magnetization 0.000 Bohr magnetons per cell. Number 6: total magnetization 0.000 Bohr magnetons per cell. Number 7: total magnetization 0.000 Bohr magnetons per cell. Number 8: total magnetization 0.007 Bohr magnetons per cell. Number 9: total magnetization 0.000 Bohr magnetons per cell. Number 10: total magnetization 0.000 Bohr magnetons per cell. Number 11: total magnetization 3.986 Bohr magnetons per cell. Number 12: total magnetization 0.000 Bohr magnetons per cell.